No. 1
The following is a GGA-PBE calculation of a geometry-optimized Li5Sn4Au structure, from Alexandria.

Density of states at the Fermi level (states/eV per cell): 4.0
VASP energy (Ha/atom): -0.11950
Size of the total moment (μB per formula unit): 0.00
Energy of formation (eV/atom): -0.37
SG: P4/mmm, No. 123

Cell lengths 3.3842, 3.3842, 16.7724 Å; angles 90.00, 90.00, 90.00 degrees
Last column: nearest neighbours and their distance in Å.
Fractional coordinates of all 10 atoms:
Li: 0.5000 0.5000 0.0809  1 Li 2.71, 4 Au 2.75, 4 Sn 2.91
Li: 0.5000 0.5000 0.2857  8 Sn 2.98-3.01
Li: 0.5000 0.5000 0.5000  8 Sn 2.98
Li: 0.5000 0.5000 0.7143  8 Sn 2.98-3.01
Li: 0.5000 0.5000 0.9191  1 Li 2.71, 4 Au 2.75, 4 Sn 2.91
Sn: 0.0000 0.0000 0.1797  8 Li 2.91-2.98, 1 Au 3.01
Sn: 0.0000 0.0000 0.3944  8 Li 2.98-3.01
Sn: 0.0000 0.0000 0.6056  8 Li 2.98-3.01
Sn: 0.0000 0.0000 0.8203  8 Li 2.91-2.98, 1 Au 3.01
Au: 0.0000 0.0000 0.0000  8 Li 2.75, 2 Sn 3.01

No. 2
The following is a GGA-PBE calculation of a geometry-optimized In2FeCu structure, from Alexandria.

Density of states at the Fermi level (states/eV per cell): 1.9
VASP energy (Ha/atom): -0.15796
Size of the total moment (μB per formula unit): 2.27
Energy of formation (eV/atom): 0.21
SG: Cm, No. 8

Cell lengths 5.4427, 5.4427, 4.7600 Å; angles 71.55, 71.55, 31.40 degrees
Last column: nearest neighbours and their distance in Å.
Fractional coordinates of all 4 atoms:
Cu: 0.5295 0.5295 0.5332  2 Fe 2.62, 5 In 2.78-2.85
Fe: 0.2293 0.2293 0.2045  2 Cu 2.62, 7 In 2.77-2.90
In: 0.9784 0.9784 0.0708  4 Cu 2.84-2.85, 3 Fe 2.88-2.90, 3 In 2.95-3.07
In: 0.7628 0.7628 0.6915  4 Fe 2.77-2.86, 3 Cu 2.78-3.03, 3 In 2.95-3.07

No. 3
The following is a GGA-PBE calculation of a geometry-optimized Al2S3 structure, from Alexandria.

Density of states at the Fermi level (states/eV per cell): 0.0
VASP energy (Ha/atom): -0.18505
Size of the total moment (μB per formula unit): 0.00
Formation energy from raw total energies (eV per atom): -1.062
SG: P6_1, No. 169

Cell lengths 6.6150, 6.6150, 17.2792 Å; angles 90.00, 90.00, 120.00 degrees
Last column: nearest neighbours and their distance in Å.
Fractional coordinates of all 30 atoms:
Al: 0.6546 0.0078 0.5496  4 S 2.24-2.29
Al: 0.7019 0.0087 0.1837  5 S 2.30-2.51
Al: 0.0087 0.3068 0.0171  5 S 2.30-2.51
Al: 0.9922 0.6468 0.8830  4 S 2.24-2.29
Al: 0.0078 0.3532 0.3830  4 S 2.24-2.29
Al: 0.9913 0.6932 0.5171  5 S 2.30-2.51
Al: 0.6468 0.6546 0.7163  4 S 2.24-2.29
Al: 0.6932 0.7019 0.3504  5 S 2.30-2.51
Al: 0.3068 0.2981 0.8504  5 S 2.30-2.51
Al: 0.2981 0.9913 0.6837  5 S 2.30-2.51
Al: 0.3532 0.3454 0.2163  4 S 2.24-2.29
Al: 0.3454 0.9922 0.0496  4 S 2.24-2.29
S: 0.3391 0.3467 0.3484  3 Al 2.28-2.35
S: 0.6684 0.9604 0.0408  3 Al 2.25-2.49
S: 0.0396 0.7080 0.3741  3 Al 2.25-2.49
S: 0.6513 0.6988 0.4948  3 Al 2.24-2.51
S: 0.3316 0.0396 0.5408  3 Al 2.25-2.49
S: 0.6609 0.6533 0.8484  3 Al 2.28-2.35
S: 0.6533 0.9924 0.6817  3 Al 2.28-2.35
S: 0.3012 0.9525 0.8282  3 Al 2.24-2.51
S: 0.0475 0.3487 0.1615  3 Al 2.24-2.51
S: 0.9525 0.6513 0.6615  3 Al 2.24-2.51
S: 0.3467 0.0076 0.1817  3 Al 2.28-2.35
S: 0.6988 0.0475 0.3282  3 Al 2.24-2.51
S: 0.7080 0.6684 0.2074  3 Al 2.25-2.49
S: 0.0076 0.6609 0.0151  3 Al 2.28-2.35
S: 0.3487 0.3012 0.9948  3 Al 2.24-2.51
S: 0.9604 0.2920 0.8741  3 Al 2.25-2.49
S: 0.2920 0.3316 0.7074  3 Al 2.25-2.49
S: 0.9924 0.3391 0.5151  3 Al 2.28-2.35

No. 4
The following is a GGA-PBE calculation of a geometry-optimized SrScBS4 structure, from Alexandria.

VASP energy (Ha/atom): -0.21549
Size of the total moment (μB per formula unit): 0.00
Formation energy from raw total energies (eV per atom): -1.406
SG: P2_1/m, No. 11

Cell lengths 6.0135, 6.2748, 7.8205 Å; angles 90.00, 107.28, 90.00 degrees
Last column: nearest neighbours and their distance in Å.
Fractional coordinates of all 14 atoms:
Sr: 0.7296 0.7500 0.9320  6 S 2.92-3.14
Sr: 0.2704 0.2500 0.0680  6 S 2.92-3.14
Sc: 0.7690 0.7500 0.4465  6 S 2.55-2.69
Sc: 0.2310 0.2500 0.5535  6 S 2.55-2.69
B: 0.2217 0.7500 0.3226  4 S 1.92-1.95
B: 0.7783 0.2500 0.6774  4 S 1.92-1.95
S: 0.9866 0.4908 0.7195  1 B 1.93
S: 0.0134 0.9908 0.2805  1 B 1.93
S: 0.0134 0.5092 0.2805  1 B 1.93
S: 0.9866 0.0092 0.7195  1 B 1.93
S: 0.4118 0.7500 0.1586  1 B 1.95
S: 0.5882 0.2500 0.8414  1 B 1.95
S: 0.4180 0.7500 0.5660  1 B 1.92
S: 0.5820 0.2500 0.4340  1 B 1.92

No. 5
The following is a GGA-PBE calculation of a geometry-optimized ErTiMn4 structure, from Alexandria.

Density of states at the Fermi level (states/eV per cell): 6.8
VASP energy (Ha/atom): -0.30227
Size of the total moment (μB per formula unit): 2.23
Energy of formation (eV/atom): -0.04
SG: F-43m, No. 216

Cell lengths 4.9261, 4.9261, 4.9261 Å; angles 60.00, 60.00, 60.00 degrees
Last column: nearest neighbours and their distance in Å.
Fractional coordinates of all 6 atoms:
Mn: 0.6243 0.6243 0.1271  6 Mn 2.45-2.48
Mn: 0.6243 0.1271 0.6243  6 Mn 2.45-2.48
Mn: 0.6243 0.6243 0.6243  6 Mn 2.45-2.48
Mn: 0.1271 0.6243 0.6243  6 Mn 2.45-2.48
Ti: 0.2500 0.2500 0.2500  12 Mn 2.89, 4 Er 3.02
Er: 0.0000 0.0000 0.0000  12 Mn 2.89, 4 Ti 3.02

No. 6
The following is a GGA-PBE calculation of a geometry-optimized NaPaCdSn structure, from Alexandria.

Density of states at the Fermi level (states/eV per cell): 4.7
VASP energy (Ha/atom): -0.14137
Size of the total moment (μB per formula unit): 1.51
Energy of formation (eV/atom): 0.09
SG: F-43m, No. 216

Cell lengths 5.2764, 5.2764, 5.2764 Å; angles 60.00, 60.00, 60.00 degrees
Last column: nearest neighbours and their distance in Å.
Fractional coordinates of all 4 atoms:
Na: 0.2500 0.2500 0.2500  4 Cd 3.23, 4 Sn 3.23
Pa: 0.7500 0.7500 0.7500  4 Cd 3.23, 4 Sn 3.23
Sn: 0.0000 0.0000 0.0000  4 Na 3.23, 4 Pa 3.23
Cd: 0.5000 0.5000 0.5000  4 Na 3.23, 4 Pa 3.23

> Which formula does entry 3 have?

Al2S3

Please write out number 3 again, unchanged.
The following is a GGA-PBE calculation of a geometry-optimized Al2S3 structure, from Alexandria.

Density of states at the Fermi level (states/eV per cell): 0.0
VASP energy (Ha/atom): -0.18505
Size of the total moment (μB per formula unit): 0.00
Formation energy from raw total energies (eV per atom): -1.062
SG: P6_1, No. 169

Cell lengths 6.6150, 6.6150, 17.2792 Å; angles 90.00, 90.00, 120.00 degrees
Last column: nearest neighbours and their distance in Å.
Fractional coordinates of all 30 atoms:
Al: 0.6546 0.0078 0.5496  4 S 2.24-2.29
Al: 0.7019 0.0087 0.1837  5 S 2.30-2.51
Al: 0.0087 0.3068 0.0171  5 S 2.30-2.51
Al: 0.9922 0.6468 0.8830  4 S 2.24-2.29
Al: 0.0078 0.3532 0.3830  4 S 2.24-2.29
Al: 0.9913 0.6932 0.5171  5 S 2.30-2.51
Al: 0.6468 0.6546 0.7163  4 S 2.24-2.29
Al: 0.6932 0.7019 0.3504  5 S 2.30-2.51
Al: 0.3068 0.2981 0.8504  5 S 2.30-2.51
Al: 0.2981 0.9913 0.6837  5 S 2.30-2.51
Al: 0.3532 0.3454 0.2163  4 S 2.24-2.29
Al: 0.3454 0.9922 0.0496  4 S 2.24-2.29
S: 0.3391 0.3467 0.3484  3 Al 2.28-2.35
S: 0.6684 0.9604 0.0408  3 Al 2.25-2.49
S: 0.0396 0.7080 0.3741  3 Al 2.25-2.49
S: 0.6513 0.6988 0.4948  3 Al 2.24-2.51
S: 0.3316 0.0396 0.5408  3 Al 2.25-2.49
S: 0.6609 0.6533 0.8484  3 Al 2.28-2.35
S: 0.6533 0.9924 0.6817  3 Al 2.28-2.35
S: 0.3012 0.9525 0.8282  3 Al 2.24-2.51
S: 0.0475 0.3487 0.1615  3 Al 2.24-2.51
S: 0.9525 0.6513 0.6615  3 Al 2.24-2.51
S: 0.3467 0.0076 0.1817  3 Al 2.28-2.35
S: 0.6988 0.0475 0.3282  3 Al 2.24-2.51
S: 0.7080 0.6684 0.2074  3 Al 2.25-2.49
S: 0.0076 0.6609 0.0151  3 Al 2.28-2.35
S: 0.3487 0.3012 0.9948  3 Al 2.24-2.51
S: 0.9604 0.2920 0.8741  3 Al 2.25-2.49
S: 0.2920 0.3316 0.7074  3 Al 2.25-2.49
S: 0.9924 0.3391 0.5151  3 Al 2.28-2.35

> Which of these has the lowest VASP energy?

ErTiMn4